# Li3CaGe PBE optimized geometry
data_Li3CaGe
_cell_length_a 5.220
_cell_length_b 5.220
_cell_length_c 5.220
_cell_angle_alpha 90.00
_cell_angle_beta 90.00
_cell_angle_gamma 90.00
_symmetry_space_group_name_H-M 'P m -3 m'
_symmetry_Int_Tables_number 221
_symmetry_space_group_name_Hall '-P 4 2 3'
loop_
_atom_site_label
_atom_site_fract_x
_atom_site_fract_y
_atom_site_fract_z
Li1 0.000 0.000 0.500
Ca1 0.000 0.000 0.000
Ge1 0.500 0.500 0.500
# - DFT formation energy: 0.894 eV per atom
# - Excess energy over the best structure of this formula in the dataset: 1039 meV/atom
# - Magnetic moment: 0.00 μB per formula unit
# - DOS at the Fermi energy: 2.424 states/eV/cell